1.
Below is NaHf2MgAs after structural relaxation, with properties calculated at the PBE level.

Lattice parameters (Å, degrees): 5.208 4.916 5.208 90.00 90.00 90.00
Sites, in units of the cell vectors:
Na  0.500  0.500  0.500
As  0.000  0.500  0.000
Hf  0.000  0.000  0.500
Hf  0.500  0.000  0.000
Mg  0.000  0.000  0.000

Calculated values
As for the magnetization: 0.00 μB per formula unit. The value obtained for the total energy is -0.320 Ry/atom. The value obtained for the energy above the lowest structure with this stoichiometry is 0.788 eV/atom. The value obtained for the formation energy is 1146 meV per atom.


2.
Below is Hf2MgNiAs after structural relaxation, with properties calculated at the PBE level.

Lattice parameters (Å, degrees): 4.886 4.384 4.886 90.00 90.00 90.00
Sites, in units of the cell vectors:
Ni  0.000  0.000  0.000
As  0.000  0.500  0.000
Hf  0.000  0.000  0.500
Hf  0.500  0.000  0.000
Mg  0.500  0.500  0.500

Calculated values
As for the magnetization: 0.00 μB per formula unit. The value obtained for the total energy is -0.454 Ry/atom. The value obtained for the formation energy is 204 meV per atom.


3.
Below is HfMgNp2As4 after structural relaxation, with properties calculated at the PBE level.

Lattice parameters (Å, degrees): 4.003 7.015 6.808 110.05 90.00 90.00
Last column: magnetic moment on the atom in μB.
Sites, in units of the cell vectors:
Hf  0.000  0.000  0.000  0.06
Mg  0.500  0.500  0.000  -0.01
Np  0.500  0.000  0.500  3.62
Np  0.000  0.500  0.500  3.75
As  0.500  0.241  0.236  -0.07
As  0.500  0.759  0.764  -0.07
As  0.000  0.250  0.764  -0.09
As  0.000  0.750  0.236  -0.09

Calculated values
As for the magnetization: 7.51 μB per formula unit. The value obtained for the total energy is -0.568 Ry/atom. The value obtained for the formation energy is -720 meV per atom.


4.
Below is Pu2HfMgAs4 after structural relaxation, with properties calculated at the PBE level.

Lattice parameters (Å, degrees): 4.034 7.058 6.802 110.28 90.00 90.00
Last column: magnetic moment on the atom in μB.
Sites, in units of the cell vectors:
Pu  0.500  0.000  0.500  4.95
Pu  0.000  0.500  0.500  5.09
Hf  0.000  0.000  0.000  0.05
Mg  0.500  0.500  0.000  -0.01
As  0.500  0.239  0.236  -0.09
As  0.500  0.761  0.764  -0.09
As  0.000  0.248  0.764  -0.12
As  0.000  0.752  0.236  -0.12

Calculated values
As for the magnetization: 9.88 μB per formula unit. The value obtained for the total energy is -0.606 Ry/atom. The value obtained for the formation energy is -894 meV per atom.


5.
Below is Hf2MgAsS after structural relaxation, with properties calculated at the PBE level.

Lattice parameters (Å, degrees): 4.779 4.582 4.779 90.00 90.00 90.00
Sites, in units of the cell vectors:
Mg  0.000  0.500  0.000
As  0.500  0.500  0.500
Hf  0.000  0.000  0.500
Hf  0.500  0.000  0.000
S  0.000  0.000  0.000

Calculated values
Its uncorrected formation energy is -0.5 eV/f.u. As for the magnetization: 0.00 μB per formula unit. The value obtained for the total energy is -0.453 Ry/atom.


6.
Below is HfMgSc2As4 after structural relaxation, with properties calculated at the PBE level.

Lattice parameters (Å, degrees): 3.875 6.747 6.705 109.56 90.00 90.00
Sites, in units of the cell vectors:
Hf  0.000  0.000  0.000
Mg  0.500  0.500  0.000
Sc  0.500  0.000  0.500
Sc  0.000  0.500  0.500
As  0.500  0.247  0.249
As  0.500  0.753  0.751
As  0.000  0.247  0.751
As  0.000  0.753  0.249

Calculated values
As for the magnetization: 0.00 μB per formula unit. The value obtained for the total energy is -0.471 Ry/atom. The value obtained for the formation energy is -1055 meV per atom.


7.
Below is HfMgAs2Se after structural relaxation, with properties calculated at the PBE level.

Lattice parameters (Å, degrees): 5.178 5.178 5.108 90.00 90.00 90.00
Sites, in units of the cell vectors:
As  0.000  0.500  0.000
As  0.500  0.000  0.000
Hf  0.000  0.000  0.000
Mg  0.500  0.500  0.500
Se  0.000  0.000  0.500

Calculated values
Its uncorrected formation energy is -0.5 eV/f.u. As for the magnetization: 0.00 μB per formula unit. The value obtained for the total energy is -0.365 Ry/atom. The value obtained for the energy above the lowest structure with this stoichiometry is 0.000 eV/atom.


8.
Below is HfMgAs2Se after structural relaxation, with properties calculated at the PBE level.

Lattice parameters (Å, degrees): 4.784 4.784 5.039 90.00 90.00 90.00
Sites, in units of the cell vectors:
As  0.000  0.500  0.000
As  0.500  0.000  0.000
Hf  0.500  0.500  0.500
Mg  0.000  0.000  0.000
Se  0.000  0.000  0.500

Calculated values
Its uncorrected formation energy is 2.4 eV/f.u. As for the magnetization: 0.00 μB per formula unit. The value obtained for the total energy is -0.322 Ry/atom. The value obtained for the energy above the lowest structure with this stoichiometry is 0.579 eV/atom.


9.
Below is Tm2HfMgAs4 after structural relaxation, with properties calculated at the PBE level.

Lattice parameters (Å, degrees): 3.974 6.927 6.846 109.72 90.00 90.00
Sites, in units of the cell vectors:
Tm  0.500  0.000  0.500
Tm  0.000  0.500  0.500
Hf  0.000  0.000  0.000
Mg  0.500  0.500  0.000
As  0.500  0.242  0.238
As  0.500  0.758  0.762
As  0.000  0.250  0.763
As  0.000  0.750  0.237

Calculated values
As for the magnetization: 0.00 μB per formula unit. The value obtained for the total energy is -0.441 Ry/atom. The value obtained for the formation energy is -1111 meV per atom.


10.
Below is HfMg2ZrAs after structural relaxation, with properties calculated at the PBE level.

Lattice parameters (Å, degrees): 4.848 5.166 4.848 90.00 90.00 90.00
Sites, in units of the cell vectors:
As  0.000  0.000  0.000
Hf  0.500  0.500  0.500
Mg  0.000  0.000  0.500
Mg  0.500  0.000  0.000
Zr  0.000  0.500  0.000

Calculated values
As for the magnetization: 0.00 μB per formula unit. The value obtained for the total energy is -0.363 Ry/atom. The value obtained for the formation energy is 329 meV per atom.


11.
Below is Hf2MnAs2 after structural relaxation, with properties calculated at the PBE level.

Lattice parameters (Å, degrees): 6.217 6.217 4.310 90.00 90.00 90.00
Last column: magnetic moment on the atom in μB.
Sites, in units of the cell vectors:
As  0.353  0.853  0.000  -0.02
As  0.853  0.647  0.000  -0.02
As  0.647  0.147  0.000  -0.02
As  0.147  0.353  0.000  -0.02
Mn  0.000  0.000  0.000  0.66
Mn  0.500  0.500  0.000  0.65
Hf  0.170  0.670  0.500  -0.01
Hf  0.670  0.830  0.500  -0.01
Hf  0.830  0.330  0.500  -0.01
Hf  0.330  0.170  0.500  -0.01

Calculated values
As for the magnetization: 0.59 μB per formula unit. The value obtained for the total energy is -0.602 Ry/atom. The value obtained for the formation energy is -514 meV per atom.


12.
Below is Hf3MnAs after structural relaxation, with properties calculated at the PBE level.

Lattice parameters (Å, degrees): 4.877 4.877 4.877 90.00 90.00 90.00
Last column: magnetic moment on the atom in μB.
Sites, in units of the cell vectors:
As  0.000  0.000  0.000  0.00
Mn  0.500  0.500  0.500  0.17
Hf  0.000  0.500  0.000  -0.01
Hf  0.000  0.000  0.500  -0.05
Hf  0.500  0.000  0.000  0.00

Calculated values
As for the magnetization: 0.11 μB per formula unit. The value obtained for the total energy is -0.588 Ry/atom. The value obtained for the energy above the lowest structure with this stoichiometry is 0.471 eV/atom. The value obtained for the formation energy is 730 meV per atom.


13.
Below is Hf3MnAs after structural relaxation, with properties calculated at the PBE level.

Lattice parameters (Å, degrees): 4.746 4.746 4.746 90.00 90.00 90.00
Sites, in units of the cell vectors:
As  0.500  0.500  0.500
Mn  0.000  0.000  0.000
Hf  0.000  0.500  0.000
Hf  0.000  0.000  0.500
Hf  0.500  0.000  0.000

Calculated values
As for the magnetization: 0.00 μB per formula unit. The value obtained for the total energy is -0.623 Ry/atom. The value obtained for the energy above the lowest structure with this stoichiometry is 0.000 eV/atom. The value obtained for the formation energy is 259 meV per atom.


14.
Below is Hf2MnAs2 after structural relaxation, with properties calculated at the PBE level.

Lattice parameters (Å, degrees): 7.413 7.413 3.523 90.00 90.00 90.00
Last column: magnetic moment on the atom in μB.
Sites, in units of the cell vectors:
As  0.154  0.654  0.500  0.04
As  0.654  0.846  0.500  0.04
As  0.846  0.346  0.500  0.04
As  0.346  0.154  0.500  0.04
Mn  0.000  0.000  0.000  3.61
Mn  0.500  0.500  0.000  3.61
Hf  0.354  0.854  0.000  -0.20
Hf  0.854  0.646  0.000  -0.20
Hf  0.646  0.146  0.000  -0.20
Hf  0.146  0.354  0.000  -0.20

Calculated values
As for the magnetization: 3.52 μB per formula unit. The value obtained for the total energy is -0.586 Ry/atom. The value obtained for the formation energy is -293 meV per atom.


15.
Below is Hf8MnAs2 after structural relaxation, with properties calculated at the PBE level.

Lattice parameters (Å, degrees): 3.837 7.173 8.302 95.61 103.36 90.00
Sites, in units of the cell vectors:
Hf  0.408  0.482  0.815
Hf  0.656  0.015  0.313
Hf  0.791  0.651  0.583
Hf  0.005  0.226  0.010
Hf  0.209  0.349  0.417
Hf  0.344  0.985  0.687
Hf  0.592  0.518  0.185
Hf  0.995  0.774  0.990
Mn  0.500  0.000  0.000
As  0.819  0.256  0.639
As  0.181  0.744  0.361

Calculated values
As for the magnetization: 0.00 μB per formula unit. The value obtained for the total energy is -0.680 Ry/atom. The value obtained for the formation energy is -329 meV per atom.


16.
Below is HfMnAs2 after structural relaxation, with properties calculated at the PBE level.

Lattice parameters (Å, degrees): 4.575 4.575 4.575 60.00 60.00 60.00
Last column: magnetic moment on the atom in μB.
Sites, in units of the cell vectors:
As  0.250  0.250  0.250  -0.08
As  0.750  0.750  0.750  -0.08
Mn  0.000  0.000  0.000  2.98
Hf  0.500  0.500  0.500  -0.10

Calculated values
As for the magnetization: 2.69 μB per formula unit. The value obtained for the total energy is -0.541 Ry/atom. The value obtained for the energy above the lowest structure with this stoichiometry is 0.198 eV/atom. The value obtained for the formation energy is -258 meV per atom.


17.
Below is HfMnAs2 after structural relaxation, with properties calculated at the PBE level.

Lattice parameters (Å, degrees): 5.235 5.235 7.407 69.31 69.31 90.00
Sites, in units of the cell vectors:
As  0.565  0.125  0.250
As  0.185  0.625  0.250
As  0.375  0.435  0.750
As  0.875  0.815  0.750
Mn  0.500  0.500  0.000
Mn  0.250  0.750  0.500
Hf  0.000  0.000  0.000
Hf  0.750  0.250  0.500

Calculated values
As for the magnetization: 0.00 μB per formula unit. The value obtained for the total energy is -0.515 Ry/atom. The value obtained for the energy above the lowest structure with this stoichiometry is 0.559 eV/atom. The value obtained for the formation energy is 102 meV per atom.


18.
Below is HfMnAs2 after structural relaxation, with properties calculated at the PBE level.

Lattice parameters (Å, degrees): 3.824 3.824 6.503 72.90 72.90 60.00
Last column: magnetic moment on the atom in μB.
Sites, in units of the cell vectors:
As  0.254  0.254  0.239  0.01
As  0.746  0.746  0.761  0.01
Mn  0.000  0.000  0.000  3.89
Hf  0.500  0.500  0.500  0.14

Calculated values
As for the magnetization: 4.31 μB per formula unit. The value obtained for the total energy is -0.556 Ry/atom. The value obtained for the energy above the lowest structure with this stoichiometry is 0.000 eV/atom. The value obtained for the formation energy is -457 meV per atom.


19.
Below is Hf2MnAs2 after structural relaxation, with properties calculated at the PBE level.

Lattice parameters (Å, degrees): 3.519 3.519 7.913 77.15 77.15 90.00
Sites, in units of the cell vectors:
As  0.750  0.250  0.500
As  0.250  0.750  0.500
Mn  0.000  0.000  0.000
Hf  0.400  0.400  0.199
Hf  0.600  0.600  0.801

Calculated values
As for the magnetization: 0.00 μB per formula unit. The value obtained for the total energy is -0.564 Ry/atom. The value obtained for the formation energy is 0 meV per atom.